First-principles (PBE-GGA) data for an optimized crystal structure of Y3TePt, as listed in Alexandria.

**Size of the total moment**: 0.00 μB per atom
**Energy relative to the elements, uncorrected**: -0.701 eV/atom
**Raw total energy**: -32.1 eV per cell
**Polymorph energy (0 for the lowest one)**: 167 kJ/mol of formula units

abc: 5.440 5.440 5.440
angles: 90.00 90.00 90.00
Atoms (fractional coordinates):
Y 0.000 0.000 0.500
Y 0.000 0.500 0.000
Y 0.500 0.000 0.000
Te 0.500 0.500 0.500
Pt 0.000 0.000 0.000

=====

First-principles (PBE-GGA) data for an optimized crystal structure of YTe3Pt, as listed in Alexandria.

**Size of the total moment**: 0.01 μB per atom
**Energy relative to the elements, uncorrected**: 0.551 eV/atom
**Raw total energy**: -19.2 eV per cell
**Polymorph energy (0 for the lowest one)**: 386 kJ/mol of formula units

abc: 5.736 5.736 5.736
angles: 90.00 90.00 90.00
Atoms (fractional coordinates):
Y 0.000 0.000 0.000
Te 0.000 0.000 0.500
Te 0.000 0.500 0.000
Te 0.500 0.000 0.000
Pt 0.500 0.500 0.500

=====

First-principles (PBE-GGA) data for an optimized crystal structure of YTePt3, as listed in Alexandria.

**Size of the total moment**: 0.00 μB per atom
**Energy relative to the elements, uncorrected**: 0.805 eV/atom
**Raw total energy**: -23.7 eV per cell
**Polymorph energy (0 for the lowest one)**: 403 kJ/mol of formula units

abc: 5.104 5.104 5.104
angles: 90.00 90.00 90.00
Atoms (fractional coordinates):
Y 0.000 0.000 0.000
Te 0.500 0.500 0.500
Pt 0.000 0.000 0.500
Pt 0.000 0.500 0.000
Pt 0.500 0.000 0.000

=====

First-principles (PBE-GGA) data for an optimized crystal structure of Y3Te2Pt, as listed in Alexandria.

**Size of the total moment**: 0.00 μB per atom
**Energy relative to the elements, uncorrected**: -1.305 eV/atom
**Raw total energy**: -158.2 eV per cell

abc: 14.100 13.445 7.516
angles: 79.03 69.41 31.56
Atoms (fractional coordinates):
Y 0.036 0.534 0.184
Y 0.093 0.657 0.657
Y 0.184 0.745 0.036
Y 0.255 0.816 0.466
Y 0.343 0.907 0.907
Y 0.466 0.964 0.255
Y 0.534 0.036 0.745
Y 0.657 0.093 0.093
Y 0.745 0.184 0.534
Y 0.816 0.255 0.964
Y 0.907 0.343 0.343
Y 0.964 0.466 0.816
Te 0.130 0.130 0.620
Te 0.296 0.296 0.454
Te 0.380 0.380 0.870
Te 0.454 0.454 0.296
Te 0.546 0.546 0.704
Te 0.620 0.620 0.130
Te 0.704 0.704 0.546
Te 0.870 0.870 0.380
Pt 0.041 0.041 0.209
Pt 0.209 0.209 0.041
Pt 0.791 0.791 0.959
Pt 0.959 0.959 0.791

=====

First-principles (PBE-GGA) data for an optimized crystal structure of ZnTe4Pt, as listed in Alexandria.

**Size of the total moment**: 0.00 μB per atom
**Energy relative to the elements, uncorrected**: 0.812 eV/atom
**Raw total energy**: -15.0 eV per cell

abc: 6.201 6.201 6.201
angles: 60.00 60.00 60.00
Atoms (fractional coordinates):
Zn 0.000 0.000 0.000
Te 0.376 0.376 0.376
Te 0.376 0.376 0.872
Te 0.376 0.872 0.376
Te 0.872 0.376 0.376
Pt 0.750 0.750 0.750

=====

First-principles (PBE-GGA) data for an optimized crystal structure of ZnTePt2, as listed in Alexandria.

**Size of the total moment**: 0.00 μB per atom
**Energy relative to the elements, uncorrected**: 0.120 eV/atom
**Raw total energy**: -16.0 eV per cell
**Polymorph energy (0 for the lowest one)**: 127 kJ/mol of formula units

abc: 4.658 4.658 4.658
angles: 60.00 60.00 60.00
Atoms (fractional coordinates):
Zn 0.000 0.000 0.000
Te 0.750 0.750 0.750
Pt 0.250 0.250 0.250
Pt 0.500 0.500 0.500

=====

First-principles (PBE-GGA) data for an optimized crystal structure of ZnTePt2, as listed in Alexandria.

**Size of the total moment**: 0.00 μB per atom
**Energy relative to the elements, uncorrected**: -0.201 eV/atom
**Raw total energy**: -17.3 eV per cell
**Polymorph energy (0 for the lowest one)**: 3 kJ/mol of formula units

abc: 3.656 3.656 5.428
angles: 90.00 90.00 90.00
Atoms (fractional coordinates):
Zn 0.000 0.000 0.000
Te 0.500 0.500 0.642
Pt 0.000 0.000 0.476
Pt 0.500 0.500 0.145

=====

First-principles (PBE-GGA) data for an optimized crystal structure of ZnTePt, as listed in Alexandria.

**Size of the total moment**: 0.00 μB per atom
**Energy relative to the elements, uncorrected**: -0.095 eV/atom
**Raw total energy**: -10.7 eV per cell
**Polymorph energy (0 for the lowest one)**: 62 kJ/mol of formula units

abc: 4.110 4.110 4.397
angles: 90.00 90.00 120.00
Atoms (fractional coordinates):
Zn 0.000 0.000 0.000
Te 0.333 0.667 0.537
Pt 0.667 0.333 0.243

=====

First-principles (PBE-GGA) data for an optimized crystal structure of ZnTePt2, as listed in Alexandria.

**Size of the total moment**: 0.00 μB per atom
**Energy relative to the elements, uncorrected**: -0.100 eV/atom
**Raw total energy**: -16.9 eV per cell
**Polymorph energy (0 for the lowest one)**: 42 kJ/mol of formula units

abc: 4.443 4.443 3.570
angles: 90.00 90.00 90.10
Atoms (fractional coordinates):
Zn 0.000 0.000 0.000
Te 0.500 0.500 0.000
Pt 0.000 0.500 0.500
Pt 0.500 0.000 0.500

=====

First-principles (PBE-GGA) data for an optimized crystal structure of Zn4TePt, as listed in Alexandria.

**Size of the total moment**: 0.00 μB per atom
**Energy relative to the elements, uncorrected**: 0.125 eV/atom
**Raw total energy**: -13.5 eV per cell

abc: 5.228 5.228 5.228
angles: 60.00 60.00 60.00
Atoms (fractional coordinates):
Zn 0.376 0.376 0.376
Zn 0.376 0.376 0.873
Zn 0.376 0.873 0.376
Zn 0.873 0.376 0.376
Te 0.000 0.000 0.000
Pt 0.750 0.750 0.750

=====

First-principles (PBE-GGA) data for an optimized crystal structure of ZnTePt, as listed in Alexandria.

**Size of the total moment**: 0.00 μB per atom
**Energy relative to the elements, uncorrected**: -0.308 eV/atom
**Raw total energy**: -11.4 eV per cell
**Polymorph energy (0 for the lowest one)**: 0 kJ/mol of formula units

abc: 4.466 4.466 4.466
angles: 60.00 60.00 60.00
Atoms (fractional coordinates):
Zn 0.000 0.000 0.000
Te 0.500 0.500 0.500
Pt 0.750 0.750 0.750

=====

First-principles (PBE-GGA) data for an optimized crystal structure of ZnTePt2, as listed in Alexandria.

**Size of the total moment**: 0.00 μB per atom
**Energy relative to the elements, uncorrected**: -0.055 eV/atom
**Raw total energy**: -16.7 eV per cell
**Polymorph energy (0 for the lowest one)**: 59 kJ/mol of formula units

abc: 4.823 4.823 4.823
angles: 126.59 126.59 78.92
Atoms (fractional coordinates):
Zn 0.000 0.000 0.000
Te 0.500 0.500 0.000
Pt 0.250 0.750 0.500
Pt 0.750 0.250 0.500